Density functional theory data (GGA-PBE) for an optimized crystal structure of Li2MgRu.

a = 3.7782 Å, b = 3.7782 Å, c = 8.4811 Å
α = 90.00°, β = 90.00°, γ = 90.00°
With the nearest neighbours (Å) after each atom.
Space group I4/mmm (No. 139)
Unique sites:
Li (0.0000, 0.5000, 0.2500)  4 Li 2.67, 4 Ru 2.84, 4 Mg 2.84
Mg (0.0000, 0.0000, 0.0000)  4 Ru 2.67, 8 Li 2.84
Ru (0.0000, 0.0000, 0.5000)  4 Mg 2.67, 8 Li 2.84

Calculated values
DFT total energy ... -3.518 eV per atom
Fermi-level density of states ... 0.2704 states/eV per atom
E_form ... 157 meV/atom



Density functional theory data (GGA-PBE) for an optimized crystal structure of SmZn2Au2.

a = 3.9989 Å, b = 3.9989 Å, c = 12.7368 Å
α = 90.00°, β = 90.00°, γ = 90.00°
With the nearest neighbours (Å) after each atom.
Space group I4/mmm (No. 139)
Unique sites:
Sm (0.0000, 0.0000, 0.0000)  8 Au 3.16
Zn (0.0000, 0.5000, 0.2500)  4 Au 2.68, 4 Zn 2.83
Au (0.0000, 0.0000, 0.3900)  4 Zn 2.68, 1 Au 2.80

Calculated values
Energy relative to the lowest polymorph listed for this composition ... 0.0 kJ/mol of atoms
DFT total energy ... -3.297 eV per atom
Fermi-level density of states ... 0.6642 states/eV per atom
E_form ... -533 meV/atom



Density functional theory data (GGA-PBE) for an optimized crystal structure of AcDyCu2Si2.

a = 4.2473 Å, b = 4.2473 Å, c = 7.9915 Å
α = 90.00°, β = 90.00°, γ = 120.00°
With the nearest neighbours (Å) after each atom.
Space group P-3m1 (No. 164)
Unique sites:
Ac (0.0000, 0.0000, 0.0000)  6 Si 3.30, 6 Cu 3.35
Dy (0.0000, 0.0000, 0.5000)  6 Cu 2.99, 6 Si 3.03
Cu (0.3333, 0.6667, 0.7138)  3 Si 2.45
Si (0.3333, 0.6667, 0.2766)  3 Cu 2.45

Calculated values
Raw formation energy ... -0.61 eV per atom
DFT total energy ... -5.231 eV per atom
Fermi-level density of states ... 0.3569 states/eV per atom



Density functional theory data (GGA-PBE) for an optimized crystal structure of BaP2.

a = 4.3208 Å, b = 4.3208 Å, c = 4.6497 Å
α = 90.00°, β = 90.00°, γ = 120.00°
With the nearest neighbours (Å) after each atom.
Space group P6/mmm (No. 191)
Unique sites:
Ba (0.0000, 0.0000, 0.0000)  12 P 3.41
P (0.3333, 0.6667, 0.5000)  3 P 2.49

Calculated values
DFT total energy ... -4.854 eV per atom
Fermi-level density of states ... 0.7384 states/eV per atom
E_form ... -607 meV/atom



Density functional theory data (GGA-PBE) for an optimized crystal structure of MnMoS3.

a = 4.5126 Å, b = 4.5126 Å, c = 4.5126 Å
α = 90.00°, β = 90.00°, γ = 90.00°
With the nearest neighbours (Å) after each atom.
Space group Pm-3m (No. 221)
Unique sites:
Mn (0.0000, 0.0000, 0.0000)  6 S 2.26
Mo (0.5000, 0.5000, 0.5000)  12 S 3.19
S (0.0000, 0.0000, 0.5000)  2 Mn 2.26

Calculated values
Energy relative to the lowest polymorph listed for this composition ... 0.0 kJ/mol of atoms
Raw formation energy ... 0.54 eV per atom
DFT total energy ... -5.935 eV per atom
Fermi-level density of states ... 1.0654 states/eV per atom



Density functional theory data (GGA-PBE) for an optimized crystal structure of KGeSeS2.

a = 4.8927 Å, b = 4.8927 Å, c = 5.1219 Å
α = 90.00°, β = 90.00°, γ = 90.00°
With the nearest neighbours (Å) after each atom.
Space group P4/mmm (No. 123)
Unique sites:
K (0.0000, 0.0000, 0.0000)  4 Se 3.46, 8 S 3.54
Ge (0.5000, 0.5000, 0.5000)  4 S 2.45, 2 Se 2.56
Se (0.5000, 0.5000, 0.0000)  2 Ge 2.56
S (0.0000, 0.5000, 0.5000)  2 Ge 2.45

Calculated values
Raw formation energy ... -0.19 eV per atom
DFT total energy ... -3.682 eV per atom
Fermi-level density of states ... 0.7796 states/eV per atom



Density functional theory data (GGA-PBE) for an optimized crystal structure of Ac2La3Zn2.

a = 3.8516 Å, b = 32.0905 Å, c = 3.8264 Å
α = 90.00°, β = 90.00°, γ = 90.00°
With the nearest neighbours (Å) after each atom.
Space group Cmmm (No. 65)
Unique sites:
Ac (0.0000, 0.1960, 0.0000)  4 Zn 3.36, 1 La 3.72
La (0.0000, 0.0802, 0.0000)  4 Zn 3.22
La (0.0000, 0.5000, 0.5000)  12 La 3.74-3.85
Zn (0.0000, 0.3657, 0.5000)  4 La 3.22, 4 Ac 3.36

Calculated values
DFT total energy ... -3.753 eV per atom
Fermi-level density of states ... 1.4273 states/eV per atom
E_form ... -104 meV/atom



Density functional theory data (GGA-PBE) for an optimized crystal structure of AcCdSnPb.

a = 4.8152 Å, b = 4.9650 Å, c = 5.0420 Å
α = 90.00°, β = 90.00°, γ = 90.00°
With the nearest neighbours (Å) after each atom.
Space group Pmmm (No. 47)
Unique sites:
Ac (0.0000, 0.0000, 0.0000)  4 Sn 3.46, 4 Pb 3.49, 4 Cd 3.54
Cd (0.0000, 0.5000, 0.5000)  4 Pb 3.46, 4 Sn 3.49, 4 Ac 3.54
Sn (0.5000, 0.5000, 0.0000)  4 Ac 3.46, 4 Cd 3.49, 4 Pb 3.54
Pb (0.5000, 0.0000, 0.5000)  4 Cd 3.46, 4 Ac 3.49, 4 Sn 3.54

Calculated values
Energy relative to the lowest polymorph listed for this composition ... 0.0 kJ/mol of atoms
DFT total energy ... -3.593 eV per atom
Fermi-level density of states ... 0.5205 states/eV per atom
E_form ... -409 meV/atom